Entry 1:
Compound: SiTc2Os
Source: the Alexandria database
Functional: PBEsol
Structure: relaxed

Cell lengths 3.663, 3.663, 8.051 Å; angles 90.00, 90.00, 90.00 degrees
Element x y z (fractional)
Si 0.000 0.000 0.000
Si 0.500 0.500 0.500
Tc 0.000 0.500 0.250
Tc 0.000 0.500 0.750
Tc 0.500 0.000 0.250
Tc 0.500 0.000 0.750
Os 0.000 0.000 0.500
Os 0.500 0.500 0.000

Computed properties:
Density (Mg/m³): 12.74
Space-group type: No. 139
Formation energy from raw total energies (eV per atom): -0.088
Total moment (μB per cell): 0.00

=====

Entry 2:
Compound: SiTc2Os
Source: the Alexandria database
Functional: PBEsol
Structure: relaxed

Cell lengths 2.733, 2.733, 25.230 Å; angles 90.00, 90.00, 120.00 degrees
Element x y z (fractional)
Si 0.000 0.000 0.000
Si 0.333 0.667 0.667
Si 0.667 0.333 0.333
Tc 0.000 0.000 0.253
Tc 0.000 0.000 0.747
Tc 0.333 0.667 0.414
Tc 0.333 0.667 0.919
Tc 0.667 0.333 0.081
Tc 0.667 0.333 0.586
Os 0.000 0.000 0.500
Os 0.333 0.667 0.167
Os 0.667 0.333 0.833

Computed properties:
Density (Mg/m³): 12.64
Space-group type: No. 166
Formation energy from raw total energies (eV per atom): -0.106
Total moment (μB per cell): 0.00

=====

Entry 3:
Compound: SiTc2Os
Source: the Alexandria database
Functional: PBEsol
Structure: relaxed

Cell lengths 3.943, 2.758, 10.023 Å; angles 90.00, 90.00, 90.00 degrees
Element x y z (fractional)
Si 0.000 0.000 0.000
Si 0.000 0.500 0.500
Tc 0.000 0.000 0.755
Tc 0.000 0.500 0.255
Tc 0.500 0.000 0.402
Tc 0.500 0.500 0.902
Os 0.500 0.000 0.138
Os 0.500 0.500 0.638

Computed properties:
Density (Mg/m³): 12.62
Space-group type: No. 38
Formation energy from raw total energies (eV per atom): -0.171
Total moment (μB per cell): 0.00

=====

Entry 4:
Compound: SiTc3Os
Source: the Alexandria database
Functional: PBEsol
Structure: relaxed

Cell lengths 4.611, 4.611, 4.611 Å; angles 90.00, 90.00, 90.00 degrees
Element x y z (fractional)
Si 0.000 0.000 0.000
Tc 0.000 0.500 0.500
Tc 0.500 0.000 0.500
Tc 0.500 0.500 0.000
Os 0.500 0.500 0.500

Computed properties:
Density (Mg/m³): 8.68
Space-group type: No. 221
Formation energy from raw total energies (eV per atom): 1.996
Total moment (μB per cell): 1.55

=====

Entry 5:
Compound: SiTc2Os
Source: the Alexandria database
Functional: PBEsol
Structure: relaxed

Cell lengths 2.922, 4.243, 4.359 Å; angles 90.00, 90.00, 90.00 degrees
Element x y z (fractional)
Si 0.000 0.000 0.000
Tc 0.000 0.500 0.500
Tc 0.500 0.000 0.500
Os 0.500 0.500 0.000

Computed properties:
Density (Mg/m³): 12.73
Space-group type: No. 47
Formation energy from raw total energies (eV per atom): -0.019
Total moment (μB per cell): 0.00

=====

Entry 6:
Compound: SiTe2Os
Source: the Alexandria database
Functional: PBEsol
Structure: relaxed

Cell lengths 2.896, 3.934, 7.655 Å; angles 90.00, 90.00, 90.00 degrees
Element x y z (fractional)
Si 0.000 0.000 0.000
Te 0.000 0.500 0.270
Te 0.000 0.500 0.730
Os 0.000 0.000 0.500

Computed properties:
Density (Mg/m³): 9.02
Space-group type: No. 47
Formation energy from raw total energies (eV per atom): 0.710
Total moment (μB per cell): 0.00

=====

Entry 7:
Compound: SiTeOs3
Source: the Alexandria database
Functional: PBEsol
Structure: relaxed

Cell lengths 4.764, 4.764, 4.764 Å; angles 90.00, 90.00, 90.00 degrees
Element x y z (fractional)
Si 0.000 0.000 0.000
Te 0.500 0.500 0.500
Os 0.000 0.500 0.500
Os 0.500 0.000 0.500
Os 0.500 0.500 0.000

Computed properties:
Density (Mg/m³): 11.16
Space-group type: No. 221
Formation energy from raw total energies (eV per atom): 2.719
Total moment (μB per cell): 0.19

=====

Entry 8:
Compound: Si2TeOs
Source: the Alexandria database
Functional: PBEsol
Structure: relaxed

Cell lengths 3.800, 3.800, 4.658 Å; angles 90.00, 90.00, 90.00 degrees
Element x y z (fractional)
Si 0.000 0.500 0.000
Si 0.500 0.000 0.000
Te 0.000 0.000 0.500
Os 0.500 0.500 0.500

Computed properties:
Density (Mg/m³): 9.23
Space-group type: No. 123
Formation energy from raw total energies (eV per atom): 0.816
Total moment (μB per cell): 0.00

=====

Entry 9:
Compound: SiTeOs2
Source: the Alexandria database
Functional: PBEsol
Structure: relaxed

Cell lengths 4.312, 4.312, 6.564 Å; angles 90.00, 90.00, 90.00 degrees
Element x y z (fractional)
Si 0.000 0.000 0.000
Si 0.500 0.500 0.500
Te 0.000 0.000 0.500
Te 0.500 0.500 0.000
Os 0.000 0.500 0.250
Os 0.000 0.500 0.750
Os 0.500 0.000 0.250
Os 0.500 0.000 0.750

Computed properties:
Density (Mg/m³): 14.59
Space-group type: No. 139
Formation energy from raw total energies (eV per atom): 0.506
Excess energy over the best structure of this formula in the dataset (eV per formula unit): 0.00
Total moment (μB per cell): 0.00

=====

Entry 10:
Compound: SiTe2Os
Source: the Alexandria database
Functional: PBEsol
Structure: relaxed

Cell lengths 3.248, 3.248, 7.782 Å; angles 90.00, 90.00, 90.00 degrees
Element x y z (fractional)
Si 0.000 0.000 0.000
Te 0.000 0.000 0.619
Te 0.500 0.500 0.232
Os 0.500 0.500 0.881

Computed properties:
Density (Mg/m³): 9.58
Space-group type: No. 99
Formation energy from raw total energies (eV per atom): 0.301
Total moment (μB per cell): 0.00

=====

Entry 11:
Compound: SiTe2Os
Source: the Alexandria database
Functional: PBEsol
Structure: relaxed

Cell lengths 3.180, 5.243, 9.697 Å; angles 90.00, 90.00, 90.00 degrees
Element x y z (fractional)
Si 0.000 0.000 0.000
Si 0.500 0.500 0.000
Te 0.000 0.500 0.274
Te 0.000 0.500 0.726
Te 0.500 0.000 0.274
Te 0.500 0.000 0.726
Os 0.000 0.000 0.500
Os 0.500 0.500 0.500

Computed properties:
Density (Mg/m³): 9.73
Space-group type: No. 65
Formation energy from raw total energies (eV per atom): 0.837
Total moment (μB per cell): 0.00

=====

Entry 12:
Compound: SiTeOs2
Source: the Alexandria database
Functional: PBEsol
Structure: relaxed

Cell lengths 4.357, 4.357, 3.228 Å; angles 90.00, 90.00, 90.00 degrees
Element x y z (fractional)
Si 0.000 0.000 0.000
Te 0.500 0.500 0.000
Os 0.000 0.500 0.500
Os 0.500 0.000 0.500

Computed properties:
Density (Mg/m³): 14.53
Space-group type: No. 123
Formation energy from raw total energies (eV per atom): 0.515
Excess energy over the best structure of this formula in the dataset (eV per formula unit): 0.04
Total moment (μB per cell): 0.00

=====

Entry 13:
Compound: Si2TeOs
Source: the Alexandria database
Functional: PBEsol
Structure: relaxed

Cell lengths 4.619, 4.619, 6.131 Å; angles 90.00, 90.00, 90.00 degrees
Element x y z (fractional)
Si 0.000 0.000 0.000
Si 0.000 0.500 0.250
Si 0.500 0.000 0.750
Si 0.500 0.500 0.500
Te 0.000 0.000 0.500
Te 0.500 0.500 0.000
Os 0.000 0.500 0.750
Os 0.500 0.000 0.250

Computed properties:
Density (Mg/m³): 9.50
Space-group type: No. 119
Formation energy from raw total energies (eV per atom): 0.601
Total moment (μB per cell): 0.00

=====

Entry 14:
Compound: SiTe2Os
Source: the Alexandria database
Functional: PBEsol
Structure: relaxed

Cell lengths 6.890, 4.071, 6.461 Å; angles 90.00, 111.66, 90.00 degrees
Element x y z (fractional)
Si 0.000 0.000 0.000
Si 0.500 0.500 0.000
Te 0.240 0.000 0.722
Te 0.260 0.500 0.278
Te 0.740 0.500 0.722
Te 0.760 0.000 0.278
Os 0.000 0.500 0.500
Os 0.500 0.000 0.500

Computed properties:
Density (Mg/m³): 9.34
Space-group type: No. 12
Formation energy from raw total energies (eV per atom): 0.520
Total moment (μB per cell): 0.00

=====

Entry 15:
Compound: SiTeOs2
Source: the Alexandria database
Functional: PBEsol
Structure: relaxed

Cell lengths 2.951, 4.809, 8.991 Å; angles 90.00, 90.00, 90.00 degrees
Element x y z (fractional)
Si 0.000 0.000 0.000
Si 0.500 0.500 0.500
Te 0.000 0.000 0.500
Te 0.500 0.500 0.000
Os 0.000 0.500 0.289
Os 0.000 0.500 0.711
Os 0.500 0.000 0.211
Os 0.500 0.000 0.789

Computed properties:
Density (Mg/m³): 13.95
Space-group type: No. 71
Formation energy from raw total energies (eV per atom): 0.619
Excess energy over the best structure of this formula in the dataset (eV per formula unit): 0.45
Total moment (μB per cell): 0.00

=====

Entry 16:
Compound: Tl2SiOs
Source: the Alexandria database
Functional: PBEsol
Structure: relaxed

Cell lengths 5.646, 9.644, 3.336 Å; angles 90.00, 122.52, 90.00 degrees
Element x y z (fractional)
Tl 0.250 0.250 0.000
Tl 0.250 0.750 0.000
Tl 0.750 0.250 0.000
Tl 0.750 0.750 0.000
Si 0.000 0.000 0.500
Si 0.500 0.500 0.500
Os 0.000 0.500 0.500
Os 0.500 0.000 0.500

Computed properties:
Density (Mg/m³): 13.60
Space-group type: No. 12
Formation energy from raw total energies (eV per atom): 0.974
Excess energy over the best structure of this formula in the dataset (eV per formula unit): 0.10
Total moment (μB per cell): 0.00

=====

Entry 17:
Compound: TlSiOs2
Source: the Alexandria database
Functional: PBEsol
Structure: relaxed

Cell lengths 2.853, 4.910, 8.921 Å; angles 90.00, 90.00, 90.00 degrees
Element x y z (fractional)
Tl 0.000 0.000 0.000
Tl 0.500 0.500 0.500
Si 0.000 0.000 0.500
Si 0.500 0.500 0.000
Os 0.000 0.500 0.217
Os 0.000 0.500 0.783
Os 0.500 0.000 0.283
Os 0.500 0.000 0.717

Computed properties:
Density (Mg/m³): 16.29
Space-group type: No. 71
Formation energy from raw total energies (eV per atom): 0.525
Excess energy over the best structure of this formula in the dataset (eV per formula unit): 0.49
Total moment (μB per cell): 0.00

=====

Entry 18:
Compound: Tl2SiOs
Source: the Alexandria database
Functional: PBEsol
Structure: relaxed

Cell lengths 4.307, 4.307, 8.076 Å; angles 90.00, 90.00, 90.00 degrees
Element x y z (fractional)
Tl 0.000 0.000 0.000
Tl 0.000 0.500 0.250
Tl 0.500 0.000 0.750
Tl 0.500 0.500 0.500
Si 0.000 0.500 0.750
Si 0.500 0.000 0.250
Os 0.000 0.000 0.500
Os 0.500 0.500 0.000

Computed properties:
Density (Mg/m³): 13.90
Space-group type: No. 119
Formation energy from raw total energies (eV per atom): 0.949
Excess energy over the best structure of this formula in the dataset (eV per formula unit): 0.00
Total moment (μB per cell): 0.00

=====

Entry 19:
Compound: TlSiOs2
Source: the Alexandria database
Functional: PBEsol
Structure: relaxed

Cell lengths 2.834, 2.834, 8.336 Å; angles 90.00, 90.00, 90.00 degrees
Element x y z (fractional)
Tl 0.000 0.000 0.000
Si 0.500 0.500 0.685
Os 0.000 0.000 0.482
Os 0.500 0.500 0.280

Computed properties:
Density (Mg/m³): 15.21
Space-group type: No. 99
Formation energy from raw total energies (eV per atom): 0.403
Excess energy over the best structure of this formula in the dataset (eV per formula unit): 0.00
Total moment (μB per cell): 0.00

=====

Entry 20:
Compound: TlSi2Os
Source: the Alexandria database
Functional: PBEsol
Structure: relaxed

Cell lengths 5.391, 7.531, 3.173 Å; angles 90.00, 90.30, 90.00 degrees
Element x y z (fractional)
Tl 0.000 0.000 0.000
Tl 0.500 0.500 0.000
Si 0.250 0.250 0.500
Si 0.250 0.750 0.500
Si 0.750 0.250 0.500
Si 0.750 0.750 0.500
Os 0.000 0.500 0.000
Os 0.500 0.000 0.000

Computed properties:
Density (Mg/m³): 11.62
Space-group type: No. 12
Formation energy from raw total energies (eV per atom): 0.722
Excess energy over the best structure of this formula in the dataset (eV per formula unit): 0.00
Total moment (μB per cell): 0.00